# 1
! K2CaScBi PBEsol relaxed; values from VASP
! space-group type = No. 123
! total moment = 1.97 μB/f.u.
! formation energy = 0.84 eV per atom
&SYSTEM
  ibrav = 0, nat = 5, ntyp = 4
/
ATOMIC_SPECIES
Sc 44.96 Sc.upf
Ca 40.08 Ca.upf
K 39.10 K.upf
Bi 208.98 Bi.upf
ATOMIC_POSITIONS crystal
Sc 0.000 0.000 0.000
Ca 0.500 0.000 0.000
K 0.000 0.000 0.500
K 0.000 0.500 0.000
Bi 0.500 0.500 0.500
CELL_PARAMETERS angstrom
6.042 0.000 0.000
0.000 6.015 0.000
0.000 0.000 6.015



# 2
! Li2CaLaBi PBEsol relaxed; values from VASP
! space-group type = No. 123
! total moment = 3.26 μB/f.u.
! formation energy = 0.87 eV per atom
&SYSTEM
  ibrav = 0, nat = 5, ntyp = 4
/
ATOMIC_SPECIES
Ca 40.08 Ca.upf
Li 6.94 Li.upf
Bi 208.98 Bi.upf
La 138.91 La.upf
ATOMIC_POSITIONS crystal
Ca 0.000 0.000 0.500
Li 0.000 0.500 0.000
Li 0.500 0.000 0.000
Bi 0.500 0.500 0.500
La 0.000 0.000 0.000
CELL_PARAMETERS angstrom
-1.791 -4.483 2.120
3.451 -2.746 -2.889
3.972 0.453 4.314



# 3
! LiCaBiSb2 PBEsol relaxed; values from VASP
! space-group type = No. 123
! electronic total energy = -15.248 eV/cell
! total moment = 0.00 μB/f.u.
&SYSTEM
  ibrav = 0, nat = 5, ntyp = 4
/
ATOMIC_SPECIES
Sb 121.76 Sb.upf
Ca 40.08 Ca.upf
Bi 208.98 Bi.upf
Li 6.94 Li.upf
ATOMIC_POSITIONS crystal
Sb 0.000 0.000 0.500
Sb 0.000 0.500 0.000
Ca 0.000 0.000 0.000
Bi 0.500 0.500 0.500
Li 0.500 0.000 0.000
CELL_PARAMETERS angstrom
5.091 0.000 0.000
0.000 5.640 0.000
0.000 0.000 5.640



# 4
! Li2CaTiBi PBEsol relaxed; values from VASP
! space-group type = No. 123
! total moment = 3.44 μB/f.u.
! formation energy = 0.72 eV per atom
&SYSTEM
  ibrav = 0, nat = 5, ntyp = 4
/
ATOMIC_SPECIES
Ca 40.08 Ca.upf
Li 6.94 Li.upf
Bi 208.98 Bi.upf
Ti 47.87 Ti.upf
ATOMIC_POSITIONS crystal
Ca 0.000 0.000 0.500
Li 0.000 0.500 0.000
Li 0.500 0.000 0.000
Bi 0.500 0.500 0.500
Ti 0.000 0.000 0.000
CELL_PARAMETERS angstrom
4.995 0.000 0.000
0.000 4.995 0.000
0.000 0.000 5.523



# 5
! Ca3MgBi PBEsol relaxed; values from VASP
! space-group type = No. 221
! total moment = 0.00 μB/f.u.
! formation energy = 0.18 eV per atom
&SYSTEM
  ibrav = 0, nat = 5, ntyp = 3
/
ATOMIC_SPECIES
Mg 24.30 Mg.upf
Ca 40.08 Ca.upf
Bi 208.98 Bi.upf
ATOMIC_POSITIONS crystal
Mg 0.000 0.000 0.000
Ca 0.000 0.500 0.000
Ca 0.000 0.000 0.500
Ca 0.500 0.000 0.000
Bi 0.500 0.500 0.500
CELL_PARAMETERS angstrom
5.750 0.000 0.000
0.000 5.750 0.000
0.000 0.000 5.750



# 6
! CaMg2Bi2 PBEsol relaxed; values from VASP
! space-group type = No. 164
! total moment = 0.00 μB/f.u.
! formation energy = -0.56 eV per atom
&SYSTEM
  ibrav = 0, nat = 5, ntyp = 3
/
ATOMIC_SPECIES
Mg 24.30 Mg.upf
Ca 40.08 Ca.upf
Bi 208.98 Bi.upf
ATOMIC_POSITIONS crystal
Mg 0.333 0.667 0.629
Mg 0.667 0.333 0.371
Ca 0.000 0.000 0.000
Bi 0.667 0.333 0.763
Bi 0.333 0.667 0.237
CELL_PARAMETERS angstrom
-0.547 3.155 3.501
-3.365 -3.243 -0.819
3.425 -4.776 4.840



# 7
! Ca2MgBi PBEsol relaxed; values from VASP
! relative energy among the computed polymorphs = 388 meV per atom
! space-group type = No. 122
! total moment = 0.00 μB/f.u.
! formation energy = -0.06 eV per atom
&SYSTEM
  ibrav = 0, nat = 8, ntyp = 3
/
ATOMIC_SPECIES
Mg 24.30 Mg.upf
Ca 40.08 Ca.upf
Bi 208.98 Bi.upf
ATOMIC_POSITIONS crystal
Mg 0.750 0.250 0.500
Mg 0.500 0.500 0.000
Ca 0.363 0.875 0.250
Ca 0.887 0.375 0.250
Ca 0.125 0.113 0.750
Ca 0.625 0.637 0.750
Bi 0.250 0.750 0.500
Bi 0.000 0.000 0.000
CELL_PARAMETERS angstrom
4.899 0.000 0.000
0.000 4.899 0.000
-2.449 -2.449 11.132



# 8
! Ca2MgBi PBEsol relaxed; values from VASP
! relative energy among the computed polymorphs = 0 meV per atom
! space-group type = No. 225
! total moment = 0.00 μB/f.u.
! formation energy = -0.44 eV per atom
&SYSTEM
  ibrav = 0, nat = 4, ntyp = 3
/
ATOMIC_SPECIES
Mg 24.30 Mg.upf
Ca 40.08 Ca.upf
Bi 208.98 Bi.upf
ATOMIC_POSITIONS crystal
Mg 0.000 0.000 0.000
Ca 0.250 0.250 0.250
Ca 0.750 0.750 0.750
Bi 0.500 0.500 0.500
CELL_PARAMETERS angstrom
-5.121 1.772 1.071
-2.066 -0.448 5.103
-0.771 4.523 3.075



# 9
! CaMnBi2P PBEsol relaxed; values from VASP
! space-group type = No. 123
! total moment = 4.92 μB/f.u.
! formation energy = 1.08 eV per atom
&SYSTEM
  ibrav = 0, nat = 5, ntyp = 4
/
ATOMIC_SPECIES
P 30.97 P.upf
Ca 40.08 Ca.upf
Mn 54.94 Mn.upf
Bi 208.98 Bi.upf
ATOMIC_POSITIONS crystal
P 0.500 0.000 0.000
Ca 0.000 0.000 0.000
Mn 0.500 0.500 0.500
Bi 0.000 0.000 0.500
Bi 0.000 0.500 0.000
CELL_PARAMETERS angstrom
-0.406 4.982 0.657
-2.389 0.479 -5.110
-5.112 -0.723 2.322



# 10
! CaMnBi2Pd PBEsol relaxed; values from VASP
! space-group type = No. 123
! total moment = 4.64 μB/f.u.
! formation energy = 0.34 eV per atom
&SYSTEM
  ibrav = 0, nat = 5, ntyp = 4
/
ATOMIC_SPECIES
Ca 40.08 Ca.upf
Mn 54.94 Mn.upf
Bi 208.98 Bi.upf
Pd 106.42 Pd.upf
ATOMIC_POSITIONS crystal
Ca 0.500 0.000 0.000
Mn 0.500 0.500 0.500
Bi 0.000 0.000 0.500
Bi 0.000 0.500 0.000
Pd 0.000 0.000 0.000
CELL_PARAMETERS angstrom
5.119 0.000 0.000
0.000 5.331 0.000
0.000 0.000 5.331



# 11
! CaBi2Mo PBEsol relaxed; values from VASP
! space-group type = No. 122
! total moment = 2.00 μB/f.u.
! formation energy = 0.31 eV per atom
&SYSTEM
  ibrav = 0, nat = 8, ntyp = 3
/
ATOMIC_SPECIES
Mo 95.94 Mo.upf
Ca 40.08 Ca.upf
Bi 208.98 Bi.upf
ATOMIC_POSITIONS crystal
Mo 0.750 0.500 0.500
Mo 0.000 0.000 0.000
Ca 0.250 0.500 0.500
Ca 0.500 0.000 0.000
Bi 0.087 0.038 0.538
Bi 0.663 0.962 0.462
Bi 0.375 0.538 0.962
Bi 0.875 0.462 0.038
CELL_PARAMETERS angstrom
6.596 0.000 0.000
3.298 5.747 0.000
3.298 0.000 5.747



# 12
! CaBi3Mo PBEsol relaxed; values from VASP
! space-group type = No. 221
! total moment = 4.44 μB/f.u.
! formation energy = 1.39 eV per atom
&SYSTEM
  ibrav = 0, nat = 5, ntyp = 3
/
ATOMIC_SPECIES
Mo 95.94 Mo.upf
Ca 40.08 Ca.upf
Bi 208.98 Bi.upf
ATOMIC_POSITIONS crystal
Mo 0.500 0.500 0.500
Ca 0.000 0.000 0.000
Bi 0.000 0.500 0.000
Bi 0.000 0.000 0.500
Bi 0.500 0.000 0.000
CELL_PARAMETERS angstrom
5.630 0.000 0.000
0.000 5.630 0.000
0.000 0.000 5.630



# 13
! CaBiMoO5 PBEsol relaxed; values from VASP
! space-group type = No. 14
! electronic total energy = -241.963 eV/cell
! total moment = 0.92 μB/f.u.
&SYSTEM
  ibrav = 0, nat = 32, ntyp = 4
/
ATOMIC_SPECIES
Ca 40.08 Ca.upf
Bi 208.98 Bi.upf
Mo 95.94 Mo.upf
O 16.00 O.upf
ATOMIC_POSITIONS crystal
Ca 0.622 0.182 0.914
Ca 0.378 0.818 0.086
Ca 0.878 0.318 0.414
Ca 0.122 0.682 0.586
Bi 0.107 0.152 0.101
Bi 0.893 0.848 0.899
Bi 0.607 0.652 0.399
Bi 0.393 0.348 0.601
Mo 0.791 0.977 0.641
Mo 0.209 0.023 0.359
Mo 0.709 0.523 0.141
Mo 0.291 0.477 0.859
O 0.544 0.330 0.071
O 0.041 0.335 0.933
O 0.496 0.630 0.194
O 0.741 0.512 0.525
O 0.789 0.493 0.286
O 0.289 0.993 0.214
O 0.541 0.835 0.567
O 0.459 0.165 0.433
O 0.259 0.488 0.475
O 0.956 0.170 0.571
O 0.211 0.507 0.714
O 0.456 0.670 0.929
O 0.044 0.830 0.429
O 0.711 0.007 0.786
O 0.759 0.988 0.025
O 0.241 0.012 0.975
O 0.504 0.370 0.806
O 0.959 0.665 0.067
O 0.004 0.870 0.694
O 0.996 0.130 0.306
CELL_PARAMETERS angstrom
5.710 0.041 0.000
-2.654 7.896 0.000
0.000 0.000 12.064



# 14
! Ca3BiN PBEsol relaxed; values from VASP
! space-group type = No. 221
! electronic total energy = -24.779 eV/cell
! total moment = 0.00 μB/f.u.
&SYSTEM
  ibrav = 0, nat = 5, ntyp = 3
/
ATOMIC_SPECIES
Ca 40.08 Ca.upf
Bi 208.98 Bi.upf
N 14.01 N.upf
ATOMIC_POSITIONS crystal
Ca 0.000 0.500 0.000
Ca 0.000 0.000 0.500
Ca 0.500 0.000 0.000
Bi 0.500 0.500 0.500
N 0.000 0.000 0.000
CELL_PARAMETERS angstrom
4.853 0.000 0.000
0.000 4.853 0.000
0.000 0.000 4.853



# 15
! CaSi2BiN PBEsol relaxed; values from VASP
! space-group type = No. 123
! electronic total energy = -24.989 eV/cell
! total moment = 0.00 μB/f.u.
&SYSTEM
  ibrav = 0, nat = 5, ntyp = 4
/
ATOMIC_SPECIES
Ca 40.08 Ca.upf
Si 28.09 Si.upf
Bi 208.98 Bi.upf
N 14.01 N.upf
ATOMIC_POSITIONS crystal
Ca 0.500 0.500 0.500
Si 0.000 0.500 0.000
Si 0.500 0.000 0.000
Bi 0.000 0.000 0.500
N 0.000 0.000 0.000
CELL_PARAMETERS angstrom
-2.581 -1.520 3.070
-2.976 -0.907 -2.952
1.967 -4.532 -0.591



# 16
! NaCaBi2 PBEsol relaxed; values from VASP
! space-group type = No. 225
! total moment = 0.00 μB/f.u.
! formation energy = -0.49 eV per atom
&SYSTEM
  ibrav = 0, nat = 4, ntyp = 3
/
ATOMIC_SPECIES
Na 22.99 Na.upf
Ca 40.08 Ca.upf
Bi 208.98 Bi.upf
ATOMIC_POSITIONS crystal
Na 0.000 0.000 0.000
Ca 0.500 0.500 0.500
Bi 0.250 0.250 0.250
Bi 0.750 0.750 0.750
CELL_PARAMETERS angstrom
5.471 0.000 0.000
2.735 4.738 0.000
2.735 1.579 4.467



# 17
! Na2CaBi PBEsol relaxed; values from VASP
! space-group type = No. 122
! total moment = 0.00 μB/f.u.
! formation energy = -0.27 eV per atom
&SYSTEM
  ibrav = 0, nat = 8, ntyp = 3
/
ATOMIC_SPECIES
Na 22.99 Na.upf
Ca 40.08 Ca.upf
Bi 208.98 Bi.upf
ATOMIC_POSITIONS crystal
Na 0.906 0.375 0.250
Na 0.344 0.875 0.250
Na 0.625 0.656 0.750
Na 0.125 0.094 0.750
Ca 0.750 0.250 0.500
Ca 0.500 0.500 0.000
Bi 0.250 0.750 0.500
Bi 0.000 0.000 0.000
CELL_PARAMETERS angstrom
-3.457 1.113 2.859
-1.300 -4.433 0.153
9.644 -0.143 7.980



# 18
! NaCaBi3 PBEsol relaxed; values from VASP
! space-group type = No. 221
! total moment = 0.00 μB/f.u.
! formation energy = 0.20 eV per atom
&SYSTEM
  ibrav = 0, nat = 5, ntyp = 3
/
ATOMIC_SPECIES
Na 22.99 Na.upf
Ca 40.08 Ca.upf
Bi 208.98 Bi.upf
ATOMIC_POSITIONS crystal
Na 0.500 0.500 0.500
Ca 0.000 0.000 0.000
Bi 0.000 0.500 0.000
Bi 0.000 0.000 0.500
Bi 0.500 0.000 0.000
CELL_PARAMETERS angstrom
5.796 0.000 0.000
0.000 5.796 0.000
0.000 0.000 5.796



# 19
! NaCa2Nb8Bi9O36 PBEsol relaxed; values from VASP
! space-group type = No. 6
! electronic total energy = -439.043 eV/cell
! total moment = 0.00 μB/f.u.
&SYSTEM
  ibrav = 0, nat = 56, ntyp = 5
/
ATOMIC_SPECIES
Na 22.99 Na.upf
Ca 40.08 Ca.upf
Nb 92.91 Nb.upf
Bi 208.98 Bi.upf
O 16.00 O.upf
ATOMIC_POSITIONS crystal
Na 0.264 0.748 0.500
Ca 0.757 0.740 0.000
Ca 0.241 0.240 0.000
Nb 0.761 0.771 0.584
Nb 0.256 0.773 0.082
Nb 0.256 0.773 0.918
Nb 0.761 0.771 0.416
Nb 0.743 0.273 0.918
Nb 0.253 0.276 0.417
Nb 0.253 0.276 0.583
Nb 0.743 0.273 0.082
Bi 0.273 0.704 0.701
Bi 0.775 0.701 0.198
Bi 0.775 0.701 0.802
Bi 0.273 0.704 0.299
Bi 0.222 0.202 0.802
Bi 0.721 0.202 0.300
Bi 0.721 0.202 0.700
Bi 0.222 0.202 0.198
Bi 0.758 0.227 0.500
O 0.830 0.824 0.500
O 0.335 0.826 0.000
O 0.662 0.326 0.000
O 0.166 0.323 0.500
O 0.940 0.105 0.586
O 0.437 0.106 0.088
O 0.437 0.106 0.912
O 0.940 0.105 0.414
O 0.560 0.606 0.912
O 0.056 0.598 0.408
O 0.056 0.598 0.592
O 0.560 0.606 0.088
O 0.465 0.016 0.563
O 0.956 0.012 0.061
O 0.956 0.012 0.939
O 0.465 0.016 0.437
O 0.041 0.512 0.939
O 0.544 0.508 0.435
O 0.544 0.508 0.565
O 0.041 0.512 0.061
O 0.990 0.975 0.749
O 0.489 0.976 0.248
O 0.489 0.976 0.752
O 0.990 0.975 0.251
O 0.508 0.476 0.752
O 0.009 0.477 0.250
O 0.009 0.477 0.750
O 0.508 0.476 0.248
O 0.671 0.805 0.657
O 0.168 0.799 0.155
O 0.168 0.799 0.845
O 0.671 0.805 0.343
O 0.829 0.300 0.845
O 0.326 0.287 0.343
O 0.326 0.287 0.657
O 0.829 0.300 0.155
CELL_PARAMETERS angstrom
-3.107 -4.178 -1.666
2.549 0.077 -4.904
16.984 -16.051 8.579



# 20
! CaNbBi3 PBEsol relaxed; values from VASP
! space-group type = No. 221
! total moment = 0.00 μB/f.u.
! formation energy = 0.12 eV per atom
&SYSTEM
  ibrav = 0, nat = 5, ntyp = 3
/
ATOMIC_SPECIES
Nb 92.91 Nb.upf
Ca 40.08 Ca.upf
Bi 208.98 Bi.upf
ATOMIC_POSITIONS crystal
Nb 0.000 0.000 0.000
Ca 0.500 0.500 0.500
Bi 0.000 0.500 0.000
Bi 0.000 0.000 0.500
Bi 0.500 0.000 0.000
CELL_PARAMETERS angstrom
5.495 0.000 0.000
0.000 5.495 0.000
0.000 0.000 5.495